## CdCu2SnSe2S2 (PBE)

Data for crystalline CdCu2SnSe2S2 at its relaxed geometry.

Cell and atoms, written as POSCAR:
```
CdCu2SnSe2S2
1.0
6.3080 -2.8777 0.0000
6.3080 2.8777 0.0000
-2.5997 0.0000 5.1609
Cd Cu Sn Se S
1 2 1 2 2
direct
0.0000 0.0000 0.0000 Cd
0.2393 0.2606 0.7223 Cu
0.7394 0.7607 0.2777 Cu
0.4792 0.5208 0.5000 Sn
0.5870 0.1260 0.1128 Se
0.8740 0.4130 0.8872 Se
0.1053 0.6176 0.6042 S
0.3824 0.8947 0.3958 S
```

---

## CsErSiS4 (PBE)

Data for crystalline CsErSiS4 at its relaxed geometry.

Cell and atoms, written as POSCAR:
```
CsErSiS4
1.0
6.3474 0.0000 0.0000
0.0000 6.6913 0.0000
0.0000 0.0000 17.8110
Cs Er Si S
4 4 4 16
direct
0.0021 0.0077 0.0317 Cs
0.4979 0.9923 0.5317 Cs
0.5021 0.4923 0.9683 Cs
0.9979 0.5077 0.4683 Cs
0.2087 0.5215 0.7285 Er
0.2913 0.4785 0.2285 Er
0.7087 0.9785 0.2715 Er
0.7913 0.0215 0.7715 Er
0.2096 0.0180 0.3310 Si
0.2904 0.9820 0.8310 Si
0.7096 0.4820 0.6690 Si
0.7904 0.5180 0.1690 Si
0.0560 0.5129 0.0975 S
0.0644 0.7511 0.8517 S
0.1030 0.2475 0.8421 S
0.1037 0.0797 0.2200 S
0.3963 0.9203 0.7200 S
0.3970 0.7525 0.3421 S
0.4356 0.2489 0.3517 S
0.4440 0.4871 0.5975 S
0.5560 0.9871 0.9025 S
0.5644 0.7489 0.1483 S
0.6030 0.2525 0.1579 S
0.6037 0.4203 0.7800 S
0.8963 0.5797 0.2800 S
0.8970 0.7475 0.6579 S
0.9356 0.2511 0.6483 S
0.9440 0.0129 0.4025 S
```

As for the magnetic moment: 0.000 μB per atom.

---

## NaThAg (PBE)

Data for crystalline NaThAg at its relaxed geometry.

Cell and atoms, written as POSCAR:
```
NaThAg
1.0
0.0000 3.5177 3.5177
3.5177 0.0000 3.5177
3.5177 3.5177 0.0000
Na Th Ag
1 1 1
direct
0.0000 0.0000 0.0000 Na
0.5000 0.5000 0.5000 Th
0.2500 0.2500 0.2500 Ag
```

As for the magnetic moment: 0.012 μB per atom.

---

## TbErAg2 (PBE)

Data for crystalline TbErAg2 at its relaxed geometry.

Cell and atoms, written as POSCAR:
```
TbErAg2
1.0
4.7560 0.0000 0.0000
0.0000 1.8431 5.4897
0.0000 -1.8431 5.4897
Tb Er Ag
1 1 2
direct
0.0000 0.0000 0.0000 Tb
0.5000 0.7121 0.7121 Er
0.0000 0.2746 0.2746 Ag
0.5000 0.4360 0.4360 Ag
```

As for the magnetic moment: 0.001 μB per atom.

---

## TmGeAuSe3 (PBE)

Data for crystalline TmGeAuSe3 at its relaxed geometry.

Cell and atoms, written as POSCAR:
```
TmGeAuSe3
1.0
10.5838 0.0000 0.0000
0.0000 4.0683 0.0000
0.0000 0.0000 13.5480
Tm Ge Au Se
4 4 4 12
direct
0.0201 0.2500 0.2387 Tm
0.4799 0.7500 0.7387 Tm
0.5201 0.2500 0.2613 Tm
0.9799 0.7500 0.7613 Tm
0.1729 0.7500 0.4802 Ge
0.3271 0.2500 0.9802 Ge
0.6729 0.7500 0.0198 Ge
0.8271 0.2500 0.5198 Ge
0.2439 0.7500 0.2286 Au
0.2561 0.2500 0.7286 Au
0.7439 0.7500 0.2714 Au
0.7561 0.2500 0.7714 Au
0.0472 0.2500 0.6067 Se
0.0665 0.7500 0.1048 Se
0.2334 0.7500 0.8574 Se
0.2666 0.2500 0.3574 Se
0.4335 0.2500 0.6048 Se
0.4528 0.7500 0.1067 Se
0.5472 0.2500 0.8933 Se
0.5665 0.7500 0.3952 Se
0.7334 0.7500 0.6426 Se
0.7666 0.2500 0.1426 Se
0.9335 0.2500 0.8952 Se
0.9528 0.7500 0.3933 Se
```

As for the magnetic moment: 0.001 μB per atom.

---

## Mo (PBE)

Data for crystalline Mo at its relaxed geometry.

Cell and atoms, written as POSCAR:
```
Mo
1.0
1.5418 0.8901 1.9238
-1.5418 0.8901 1.9238
0.0000 -1.7803 1.9238
Mo
1
direct
0.0000 0.0000 0.0000 Mo
```

As for the magnetic moment: 0.000 μB per atom.

---

| no. | total DFT energy (no corrections) (eV per cell) |
| --- | --- |
| 1 | -30.74 |
| 2 | -149.72 |
| 3 | -10.28 |
| 4 | -16.03 |
| 5 | -109.09 |
| 6 | -10.39 |